Record 1
This record from Alexandria via LeMat-Bulk describes Pu2FeGe after structural relaxation. The functional is PBE.

Calculated values
Symmetry: No. 123
Calculated total energy, eV per atom: -10.623
N(E_F), states/eV per cell: 9.6

a = 3.732 Å, b = 3.732 Å, c = 5.643 Å
α = 90.00°, β = 90.00°, γ = 90.00°
Each line ends with the local moment (μB).
Atoms (fractional coordinates):
Ge: 0.500 0.500 0.500  -0.12
Fe: 0.500 0.500 0.000  -2.31
Pu: 0.000 0.000 0.748  5.29
Pu: 0.000 0.000 0.252  5.29

---

Record 2
This record from Alexandria via LeMat-Bulk describes CeYSe2 after structural relaxation. The functional is PBE.

Calculated values
Offset from the most stable computed form, meV/atom: 72
Symmetry: No. 160
Energy relative to the elements, uncorrected, kJ per mole of atoms: -167
N(E_F), states/eV per cell: 6.4

a = 4.014 Å, b = 4.014 Å, c = 7.700 Å
α = 74.89°, β = 74.89°, γ = 60.00°
Each line ends with the local moment (μB).
Atoms (fractional coordinates):
Ce: 0.671 0.671 0.986  0.97
Y: 0.496 0.496 0.513  -0.06
Se: 0.086 0.086 0.743  -0.01
Se: 0.248 0.248 0.257  -0.01

---

Record 3
This record from Alexandria via LeMat-Bulk describes Ca2Ac3Pb4 after structural relaxation. The functional is PBE.

Calculated values
Offset from the most stable computed form, meV/atom: 15
Symmetry: No. 12
N(E_F), states/eV per cell: 6.7

a = 5.048 Å, b = 6.660 Å, c = 10.630 Å
α = 93.31°, β = 90.00°, γ = 112.27°
Atoms (fractional coordinates):
Ca: 0.320 0.640 0.219
Ca: 0.680 0.360 0.781
Ac: 0.375 0.750 0.608
Ac: 0.000 0.000 0.000
Ac: 0.625 0.250 0.392
Pb: 0.681 0.362 0.084
Pb: 0.082 0.164 0.625
Pb: 0.918 0.836 0.375
Pb: 0.319 0.638 0.916